one:
First-principles (PBE) data for a geometry-optimized CdTeW3 structure, as listed in Alexandria.

Geometry as POSCAR:
```
CdTeW3
1.0
-3.455 2.792 2.087
-2.896 -3.934 0.469
1.940 -0.901 4.417
Te W Cd
1 3 1
Direct
0.500 0.500 0.500
0.000 0.500 0.000
0.000 0.000 0.500
0.500 0.000 0.000
0.000 0.000 0.000
```



two:
First-principles (PBE) data for a geometry-optimized CdTeW3 structure, as listed in Alexandria.

Geometry as POSCAR:
```
CdTeW3
1.0
-1.990 0.717 -4.421
1.110 -4.608 -1.247
-4.339 -1.507 1.709
Te W Cd
1 3 1
Direct
0.000 0.000 0.000
0.000 0.500 0.000
0.000 0.000 0.500
0.500 0.000 0.000
0.500 0.500 0.500
```



Least stable structure: one



one:
First-principles (PBE) data for a geometry-optimized Y2CdTe structure, as listed in Alexandria.

Geometry as POSCAR:
```
Y2CdTe
1.0
-2.503 -0.389 -4.763
1.295 -3.973 -3.411
-3.478 -4.024 -0.898
Cd Te Y
1 1 2
Direct
0.500 0.500 0.500
0.750 0.750 0.750
0.000 0.000 0.000
0.250 0.250 0.250
```



two:
First-principles (PBE) data for a geometry-optimized Y2CdTe structure, as listed in Alexandria.

Geometry as POSCAR:
```
Y2CdTe
1.0
6.416 0.000 0.000
3.352 5.471 0.000
-4.884 -2.735 3.135
Cd Te Y
1 1 2
Direct
0.500 0.500 0.000
0.750 0.250 0.500
0.000 0.000 0.000
0.250 0.750 0.500
```



three:
First-principles (PBE) data for a geometry-optimized Y2CdTe structure, as listed in Alexandria.

Geometry as POSCAR:
```
Y2CdTe
1.0
3.907 0.000 0.000
0.000 3.905 0.016
0.000 3.879 7.016
Cd Te Y
1 1 2
Direct
0.500 0.250 0.250
0.500 0.750 0.750
0.000 0.000 0.000
0.000 0.500 0.500
```



Least stable structure: one



one:
First-principles (PBE) data for a geometry-optimized Y2CdTe structure, as listed in Alexandria.

Geometry as POSCAR:
```
Y2CdTe
1.0
4.403 0.000 0.000
0.000 4.315 0.000
0.000 0.000 6.211
Cd Te Y
1 1 2
Direct
0.000 0.000 0.375
0.500 0.500 0.875
0.000 0.000 0.875
0.500 0.500 0.375
```



two:
First-principles (PBE) data for a geometry-optimized Y2CdTe structure, as listed in Alexandria.

Geometry as POSCAR:
```
Y2CdTe
1.0
5.416 -0.035 -0.013
-0.993 5.325 -0.013
0.014 0.017 3.727
Cd Te Y
1 1 2
Direct
0.500 0.000 0.500
0.000 0.500 0.500
0.000 0.000 0.000
0.500 0.500 0.000
```



Least stable structure: two



one:
First-principles (PBE) data for a geometry-optimized YCd3Te structure, as listed in Alexandria.

Geometry as POSCAR:
```
YCd3Te
1.0
-5.057 -1.683 -1.647
1.193 -5.194 1.647
-2.031 1.140 5.069
Y Te Cd
1 1 3
Direct
0.500 0.500 0.500
0.000 0.000 0.000
0.000 0.500 0.000
0.000 0.000 0.500
0.500 0.000 0.000
```



two:
First-principles (PBE) data for a geometry-optimized YCd3Te structure, as listed in Alexandria.

Geometry as POSCAR:
```
YCd3Te
1.0
-5.541 0.999 1.691
-0.700 -5.733 1.096
1.835 0.832 5.523
Y Te Cd
1 1 3
Direct
0.000 0.000 0.000
0.500 0.500 0.500
0.000 0.500 0.000
0.000 0.000 0.500
0.500 0.000 0.000
```



Least stable structure: two



one:
First-principles (PBE) data for a geometry-optimized Y3CdTe structure, as listed in Alexandria.

Geometry as POSCAR:
```
Y3CdTe
1.0
4.033 0.000 0.000
0.000 7.455 -1.367
0.000 -0.154 9.741
Y Cd Te
6 2 2
Direct
0.250 0.972 0.306
0.250 0.434 0.296
0.250 0.327 0.919
0.750 0.028 0.694
0.750 0.673 0.081
0.750 0.566 0.704
0.750 0.131 0.107
0.250 0.869 0.893
0.750 0.731 0.428
0.250 0.269 0.572
```



two:
First-principles (PBE) data for a geometry-optimized Y3CdTe structure, as listed in Alexandria.

Geometry as POSCAR:
```
Y3CdTe
1.0
-0.705 -4.971 -2.544
3.382 -2.421 3.792
-4.443 -1.054 3.290
Y Te Cd
3 1 1
Direct
0.000 0.500 0.000
0.000 0.000 0.500
0.500 0.000 0.000
0.000 0.000 0.000
0.500 0.500 0.500
```



Least stable structure: two



one:
First-principles (PBE) data for a geometry-optimized Y2CdTe2 structure, as listed in Alexandria.

Geometry as POSCAR:
```
Y2CdTe2
1.0
8.548 0.000 0.000
0.000 8.548 0.000
0.000 0.000 3.874
Y Te Cd
4 4 2
Direct
0.152 0.652 0.500
0.652 0.848 0.500
0.848 0.348 0.500
0.348 0.152 0.500
0.356 0.856 0.000
0.856 0.644 0.000
0.644 0.144 0.000
0.144 0.356 0.000
0.000 0.000 0.000
0.500 0.500 0.000
```



two:
First-principles (PBE) data for a geometry-optimized Y2CdTe2 structure, as listed in Alexandria.

Geometry as POSCAR:
```
Y2CdTe2
1.0
8.426 0.000 0.000
0.000 8.426 0.000
0.000 0.000 4.011
Y Te Cd
4 4 2
Direct
0.350 0.850 0.000
0.850 0.650 0.000
0.650 0.150 0.000
0.150 0.350 0.000
0.149 0.649 0.500
0.649 0.851 0.500
0.851 0.351 0.500
0.351 0.149 0.500
0.000 0.000 0.000
0.500 0.500 0.000
```



Least stable structure: one



one:
First-principles (PBE) data for a geometry-optimized Y4CdTe structure, as listed in Alexandria.

Geometry as POSCAR:
```
Y4CdTe
1.0
-3.096 0.957 -2.378
-0.795 -8.291 -2.299
-12.550 -2.992 15.134
Y Cd Te
16 4 4
Direct
0.750 0.874 0.663
0.250 0.126 0.337
0.250 0.626 0.163
0.750 0.374 0.837
0.750 0.865 0.441
0.250 0.135 0.559
0.250 0.635 0.941
0.750 0.365 0.059
0.750 0.980 0.930
0.250 0.020 0.070
0.250 0.520 0.430
0.750 0.480 0.570
0.750 0.955 0.214
0.250 0.045 0.786
0.250 0.545 0.714
0.750 0.455 0.286
0.750 0.739 0.814
0.250 0.261 0.186
0.250 0.761 0.314
0.750 0.239 0.686
0.750 0.242 0.446
0.250 0.758 0.554
0.250 0.258 0.946
0.750 0.742 0.054
```



two:
First-principles (PBE) data for a geometry-optimized Y4CdTe structure, as listed in Alexandria.

Geometry as POSCAR:
```
Y4CdTe
1.0
0.000 4.516 4.516
4.516 0.000 4.516
4.516 4.516 0.000
Y Cd Te
4 1 1
Direct
0.873 0.376 0.376
0.376 0.376 0.873
0.376 0.873 0.376
0.376 0.376 0.376
0.750 0.750 0.750
0.000 0.000 0.000
```



Least stable structure: two



one:
First-principles (PBE) data for a geometry-optimized Zn2Cd2Te structure, as listed in Alexandria.

Geometry as POSCAR:
```
Zn2Cd2Te
1.0
-3.337 -1.842 -1.177
1.382 -0.114 -3.740
2.095 -7.396 -1.127
Zn Te Cd
2 1 2
Direct
0.750 0.250 0.500
0.250 0.750 0.500
0.000 0.000 0.000
0.394 0.394 0.212
0.606 0.606 0.788
```



two:
First-principles (PBE) data for a geometry-optimized Zn2Cd2Te structure, as listed in Alexandria.

Geometry as POSCAR:
```
Zn2Cd2Te
1.0
-3.161 5.023 4.268
-5.500 0.599 -4.779
-2.129 -3.093 2.063
Zn Te Cd
4 2 4
Direct
0.375 0.875 0.000
0.875 0.625 0.000
0.625 0.125 0.000
0.125 0.375 0.000
0.000 0.000 0.000
0.500 0.500 0.000
0.167 0.667 0.500
0.667 0.833 0.500
0.833 0.333 0.500
0.333 0.167 0.500
```



three:
First-principles (PBE) data for a geometry-optimized Zn2Cd2Te structure, as listed in Alexandria.

Geometry as POSCAR:
```
Zn2Cd2Te
1.0
8.759 0.000 0.000
0.000 8.759 0.000
0.000 0.000 2.922
Zn Te Cd
4 2 4
Direct
0.106 0.606 0.500
0.606 0.894 0.500
0.894 0.394 0.500
0.394 0.106 0.500
0.000 0.000 0.000
0.500 0.500 0.000
0.307 0.807 0.000
0.807 0.693 0.000
0.693 0.193 0.000
0.193 0.307 0.000
```



Least stable structure: two



one:
First-principles (PBE) data for a geometry-optimized ZnCd3Te structure, as listed in Alexandria.

Geometry as POSCAR:
```
ZnCd3Te
1.0
-3.875 0.384 -3.410
1.882 -4.063 -2.597
-2.869 -3.185 2.902
Zn Te Cd
1 1 3
Direct
0.000 0.000 0.000
0.500 0.500 0.500
0.000 0.500 0.000
0.000 0.000 0.500
0.500 0.000 0.000
```



two:
First-principles (PBE) data for a geometry-optimized ZnCd3Te structure, as listed in Alexandria.

Geometry as POSCAR:
```
ZnCd3Te
1.0
-2.375 3.770 -3.998
-0.478 -4.481 -3.941
-5.474 -1.245 2.079
Zn Te Cd
1 1 3
Direct
0.500 0.500 0.500
0.000 0.000 0.000
0.000 0.500 0.000
0.000 0.000 0.500
0.500 0.000 0.000
```



Least stable structure: two



one:
First-principles (PBE) data for a geometry-optimized Zn2CdTe2 structure, as listed in Alexandria.

Geometry as POSCAR:
```
Zn2CdTe2
1.0
4.280 0.000 0.000
0.000 4.280 0.000
2.140 2.140 8.381
Zn Te Cd
2 2 1
Direct
0.750 0.250 0.500
0.250 0.750 0.500
0.352 0.352 0.297
0.648 0.648 0.703
0.000 0.000 0.000
```



two:
First-principles (PBE) data for a geometry-optimized Zn2CdTe2 structure, as listed in Alexandria.

Geometry as POSCAR:
```
Zn2CdTe2
1.0
5.483 0.000 0.000
0.000 5.483 0.000
2.742 2.742 4.160
Zn Te Cd
2 2 1
Direct
0.349 0.349 0.303
0.651 0.651 0.697
0.750 0.250 0.500
0.250 0.750 0.500
0.000 0.000 0.000
```



Least stable structure: two



one:
First-principles (PBE) data for a geometry-optimized ZrCdTe structure, as listed in Alexandria.

Geometry as POSCAR:
```
ZrCdTe
1.0
4.913 0.000 0.000
2.457 4.255 0.000
2.457 1.418 4.012
Cd Te Zr
1 1 1
Direct
0.000 0.000 0.000
0.500 0.500 0.500
0.750 0.750 0.750
```



two:
First-principles (PBE) data for a geometry-optimized ZrCdTe structure, as listed in Alexandria.

Geometry as POSCAR:
```
ZrCdTe
1.0
6.042 -0.011 0.000
3.858 4.650 0.000
-4.950 -2.320 2.573
Cd Te Zr
1 1 1
Direct
0.005 0.005 0.000
0.314 0.314 0.000
0.680 0.680 0.000
```



Least stable structure: one



one:
First-principles (PBE) data for a geometry-optimized ZrCdTe structure, as listed in Alexandria.

Geometry as POSCAR:
```
ZrCdTe
1.0
4.887 0.000 0.000
-2.443 4.232 0.000
0.000 0.000 3.823
Cd Te Zr
1 1 1
Direct
0.000 0.000 0.000
0.667 0.333 0.501
0.333 0.667 0.499
```



two:
First-principles (PBE) data for a geometry-optimized ZrCdTe structure, as listed in Alexandria.

Geometry as POSCAR:
```
ZrCdTe
1.0
4.907 0.000 0.000
2.454 4.250 0.000
2.454 1.417 4.007
Cd Te Zr
1 1 1
Direct
0.500 0.500 0.500
0.750 0.750 0.750
0.000 0.000 0.000
```



Least stable structure: two